Entry 1
{"formula": "Dy6Al2Ga", "functional": "PBE", "state": "optimized geometry", "total_magnetization_mub_per_atom": 0.00, "n_ef_per_ev_cell": 13.03, "cell": [[5.015, 0.000, -0.189], [0.000, 7.096, 0.000], [-2.223, -3.548, 7.612]], "species": ["Dy", "Dy", "Dy", "Dy", "Dy", "Dy", "Al", "Al", "Ga"], "frac_coords": [[0.165, 0.414, 0.331], [0.835, 0.083, 0.669], [0.835, 0.586, 0.669], [0.500, 0.247, 0.000], [0.165, 0.917, 0.331], [0.500, 0.753, 0.000], [0.666, 0.666, 0.332], [0.334, 0.334, 0.668], [0.000, 0.000, 0.000]]}



Entry 2
{"formula": "Dy6Al2Ga", "functional": "PBE", "state": "optimized geometry", "total_magnetization_mub_per_atom": 0.00, "n_ef_per_ev_cell": 14.34, "cell": [[8.056, 0.192, -2.972], [-4.136, 7.075, -2.570], [-0.120, -0.192, 8.586]], "species": ["Dy", "Dy", "Dy", "Dy", "Dy", "Dy", "Dy", "Dy", "Dy", "Dy", "Dy", "Dy", "Al", "Al", "Al", "Al", "Ga", "Ga"], "frac_coords": [[0.563, 0.739, 0.825], [0.437, 0.261, 0.175], [0.086, 0.261, 0.825], [0.914, 0.739, 0.175], [0.804, 0.747, 0.551], [0.196, 0.253, 0.449], [0.196, 0.747, 0.943], [0.804, 0.253, 0.057], [0.718, 0.391, 0.674], [0.282, 0.609, 0.326], [0.282, 0.956, 0.674], [0.718, 0.044, 0.326], [0.500, 0.372, 0.872], [0.500, 0.628, 0.128], [0.639, 0.000, 0.639], [0.361, 0.000, 0.361], [0.000, 0.500, 0.500], [0.000, 0.000, 0.000]]}



Name the least stable of them. entry 1.



Entry 1
{"formula": "DyAl2Ga3", "functional": "PBE", "state": "optimized geometry", "total_magnetization_mub_per_atom": 0.00, "n_ef_per_ev_cell": 1.89, "cell": [[4.584, 0.000, 0.000], [-2.292, 3.970, 0.000], [0.000, 0.000, 6.220]], "species": ["Dy", "Al", "Al", "Ga", "Ga", "Ga"], "frac_coords": [[0.000, 0.000, 0.000], [0.667, 0.333, 0.301], [0.333, 0.667, 0.699], [0.000, 0.000, 0.500], [0.667, 0.333, 0.742], [0.333, 0.667, 0.258]]}



Entry 2
{"formula": "DyAl2Ga3", "functional": "PBE", "state": "optimized geometry", "total_magnetization_mub_per_atom": 0.00, "n_ef_per_ev_cell": 7.12, "cell": [[5.428, 0.000, 0.001], [0.000, 5.222, -2.674], [0.002, 0.783, 7.989]], "species": ["Dy", "Dy", "Al", "Al", "Al", "Al", "Ga", "Ga", "Ga", "Ga", "Ga", "Ga"], "frac_coords": [[0.750, 0.326, 0.654], [0.250, 0.674, 0.346], [0.000, 0.734, 0.999], [0.500, 0.266, 0.001], [0.000, 0.266, 0.001], [0.500, 0.734, 0.999], [0.750, 0.849, 0.700], [0.250, 0.151, 0.300], [0.750, 0.902, 0.307], [0.250, 0.098, 0.693], [0.750, 0.408, 0.309], [0.250, 0.592, 0.691]]}



Name the least stable of them. entry 2.



Entry 1
{"formula": "DyHoAlGa", "functional": "PBE", "state": "optimized geometry", "total_magnetization_mub_per_atom": 0.00, "n_ef_per_ev_cell": 3.26, "cell": [[4.398, 0.000, 0.000], [0.000, 4.055, 0.000], [-2.199, 0.000, 5.493]], "species": ["Dy", "Ho", "Al", "Ga"], "frac_coords": [[0.861, 0.500, 0.723], [0.142, 0.000, 0.284], [0.574, 0.500, 0.147], [0.423, 0.000, 0.846]]}



Entry 2
{"formula": "DyHoAlGa", "functional": "PBE", "state": "optimized geometry", "total_magnetization_mub_per_atom": 0.00, "n_ef_per_ev_cell": 1.42, "cell": [[5.065, 0.000, 0.000], [2.533, 4.386, 0.000], [2.533, 1.462, 4.136]], "species": ["Al", "Ho", "Ga", "Dy"], "frac_coords": [[0.750, 0.750, 0.750], [0.000, 0.000, 0.000], [0.250, 0.250, 0.250], [0.500, 0.500, 0.500]]}



Name the least stable of them. entry 2.